Sc8SnSb5 | Alexandria via LeMat-Bulk | PBE | relaxed; Fermi-level density of states = 18.73 states/eV/f.u.; symmetry = I-4 (82); uncorrected formation energy = -0.845 eV/atom
1.0
-0.505 -5.439 -5.195
7.260 1.556 1.301
-3.253 -2.305 6.397
Sn Sb Sc
1 5 8
Direct
0.250 0.500 0.750 Sn
0.749 0.625 0.625 Sb
0.875 0.876 0.251 Sb
0.001 0.375 0.125 Sb
0.375 0.124 0.999 Sb
0.500 0.000 0.500 Sb
0.276 0.250 0.374 Sc
0.124 0.750 0.026 Sc
0.974 0.099 0.724 Sc
0.124 0.748 0.524 Sc
0.626 0.901 0.876 Sc
0.625 0.400 0.876 Sc
0.476 0.600 0.224 Sc
0.776 0.252 0.375 Sc